KLiFeI5 after structural relaxation. Source: Alexandria, functional GGA-PBE.

* raw formation energy: -0.7352 eV/atom
* E: -100.42 eV for the cell shown

Cell: 10.6020 13.3501 10.1540 Å, 90.00 111.09 90.00°
Space group C2/c (No. 15)
Inequivalent atoms, fractional coordinates:
K 0.0000 0.1685 0.2500 (multiplicity 4)
Li 0.0000 0.5000 0.0000 (multiplicity 4)
Fe 0.0000 0.1686 0.7500 (multiplicity 4)
I 0.0000 0.4296 0.2500 (multiplicity 4)
I 0.1213 0.2797 0.6266 (multiplicity 8)
I 0.1712 0.0592 0.9377 (multiplicity 8)